Entry 1:
# UTl2SiO6 | the Alexandria database | PBE | optimized geometry
# Formation energy without anion corrections, eV/atom: -2.05
# VASP energy, eV per cell: -71.701
data_UTl2SiO6
_cell_length_a 5.6755
_cell_length_b 5.6755
_cell_length_c 5.6738
_cell_angle_alpha 60.01
_cell_angle_beta 60.01
_cell_angle_gamma 90.00
_space_group_name_H-M_alt 'P 1'
_space_group_IT_number 1
_space_group_name_Hall 'P 1'
loop_
_atom_site_label
_atom_site_type_symbol
_atom_site_fract_x
_atom_site_fract_y
_atom_site_fract_z
_atom_site_occupancy
U1 U 0.0000 0.0000 0.0000 1
Tl1 Tl 0.7500 0.2500 0.5000 1
Tl2 Tl 0.2500 0.7500 0.5000 1
Si1 Si 0.5000 0.5000 0.0000 1
O1 O 0.2687 0.2687 0.4628 1
O2 O 0.7307 0.7307 0.0001 1
O3 O 0.2691 0.7309 0.0000 1
O4 O 0.7309 0.2691 0.0000 1
O5 O 0.2693 0.2693 0.9999 1
O6 O 0.7313 0.7313 0.5372 1

Entry 2:
# UTlSi2O8 | the Alexandria database | PBE | optimized geometry
# Formation energy without anion corrections, eV/atom: -2.34
# VASP energy, eV per cell: -92.198
data_UTlSi2O8
_cell_length_a 5.5343
_cell_length_b 5.5343
_cell_length_c 8.0206
_cell_angle_alpha 90.00
_cell_angle_beta 90.00
_cell_angle_gamma 120.00
_space_group_name_H-M_alt 'P 1'
_space_group_IT_number 1
_space_group_name_Hall 'P 1'
loop_
_atom_site_label
_atom_site_type_symbol
_atom_site_fract_x
_atom_site_fract_y
_atom_site_fract_z
_atom_site_occupancy
U1 U 0.0000 0.0000 0.0000 1
Tl1 Tl 0.0000 0.0000 0.5000 1
Si1 Si 0.3333 0.6667 0.7665 1
Si2 Si 0.6667 0.3333 0.2335 1
O1 O 0.1734 0.3469 0.8442 1
O2 O 0.1734 0.8266 0.8442 1
O3 O 0.6531 0.8266 0.8442 1
O4 O 0.3469 0.1734 0.1558 1
O5 O 0.6667 0.3333 0.4352 1
O6 O 0.3333 0.6667 0.5648 1
O7 O 0.8266 0.6531 0.1558 1
O8 O 0.8266 0.1734 0.1558 1

Entry 3:
# UTlSiO6 | the Alexandria database | PBE | optimized geometry
# Formation energy without anion corrections, eV/atom: -2.22
# VASP energy, eV per cell: -68.779
data_UTlSiO6
_cell_length_a 5.2940
_cell_length_b 5.2940
_cell_length_c 5.2537
_cell_angle_alpha 90.00
_cell_angle_beta 90.00
_cell_angle_gamma 60.00
_space_group_name_H-M_alt 'P 1'
_space_group_IT_number 1
_space_group_name_Hall 'P 1'
loop_
_atom_site_label
_atom_site_type_symbol
_atom_site_fract_x
_atom_site_fract_y
_atom_site_fract_z
_atom_site_occupancy
U1 U 0.6666 0.6667 0.5000 1
Tl1 Tl 0.0000 0.0000 0.0000 1
Si1 Si 0.3333 0.3333 0.5000 1
O1 O 0.0389 0.3565 0.3043 1
O2 O 0.3565 0.0389 0.6957 1
O3 O 0.6045 0.3565 0.6957 1
O4 O 0.0389 0.6046 0.6957 1
O5 O 0.3565 0.6046 0.3043 1
O6 O 0.6046 0.0389 0.3043 1